Ca2TiGeBr: single point on PBEsol structure, meta-GGA SCAN.

a = 4.716 Å, b = 5.320 Å, c = 5.320 Å
α = 90.00°, β = 90.00°, γ = 90.00°
Site moments in Bohr magnetons follow the coordinates.
Fractional coordinates of all 5 atoms:
Ge 0.500 0.500 0.500  -0.13
Ca 0.000 0.000 0.500  0.09
Ca 0.000 0.500 0.000  0.09
Br 0.000 0.000 0.000  0.03
Ti 0.500 0.000 0.000  1.96

## Properties
**ΔE_f (raw)**: -95 meV/atom
**Crystal system**: tetragonal
**N(E_F)**: 2.3 states/eV/cell

Ca2HBr: single point on PBEsol structure, meta-GGA SCAN.

a = 5.052 Å, b = 5.052 Å, c = 5.052 Å
α = 60.00°, β = 60.00°, γ = 60.00°
Site moments in Bohr magnetons follow the coordinates.
Fractional coordinates of all 4 atoms:
H 0.000 0.000 0.000  0.04
Ca 0.250 0.250 0.250  -0.32
Ca 0.750 0.750 0.750  -0.32
Br 0.500 0.500 0.500  -0.05

## Properties
**Total DFT energy (no corrections)**: -10.912 eV/atom
**Crystal system**: cubic
**N(E_F)**: 2.6 states/eV/cell

Ca3HBr: single point on PBEsol structure, meta-GGA SCAN.

a = 5.098 Å, b = 5.098 Å, c = 5.098 Å
α = 90.00°, β = 90.00°, γ = 90.00°
Fractional coordinates of all 5 atoms:
H 0.000 0.000 0.000
Ca 0.000 0.500 0.000
Ca 0.000 0.000 0.500
Ca 0.500 0.000 0.000
Br 0.500 0.500 0.500

## Properties
**Total DFT energy (no corrections)**: -10.605 eV/atom
**Crystal system**: cubic
**N(E_F)**: 3.9 states/eV/cell

Ca2MgHBr: single point on PBEsol structure, meta-GGA SCAN.

a = 3.811 Å, b = 6.108 Å, c = 6.108 Å
α = 90.00°, β = 90.00°, γ = 90.00°
Fractional coordinates of all 5 atoms:
H 0.500 0.000 0.000
Ca 0.000 0.000 0.500
Ca 0.000 0.500 0.000
Mg 0.000 0.000 0.000
Br 0.500 0.500 0.500

## Properties
**Total DFT energy (no corrections)**: -9.522 eV/atom
**Crystal system**: tetragonal
**N(E_F)**: 2.8 states/eV/cell

CaZn2H12Br6O6: single point on PBEsol structure, meta-GGA SCAN.

a = 8.474 Å, b = 8.474 Å, c = 14.296 Å
α = 68.34°, β = 68.34°, γ = 75.21°
Fractional coordinates of all 54 atoms:
Ca 0.524 0.524 0.277
Ca 0.476 0.476 0.723
Zn 0.923 0.923 0.295
Zn 0.077 0.077 0.705
Zn 0.200 0.200 0.149
Zn 0.800 0.800 0.851
H 0.686 0.841 0.126
H 0.841 0.686 0.126
H 0.314 0.159 0.874
H 0.159 0.314 0.874
H 0.273 0.618 0.155
H 0.618 0.273 0.155
H 0.727 0.382 0.845
H 0.382 0.727 0.845
H 0.415 0.736 0.087
H 0.736 0.415 0.087
H 0.585 0.264 0.913
H 0.264 0.585 0.913
H 0.231 0.382 0.466
H 0.382 0.231 0.466
H 0.769 0.618 0.534
H 0.618 0.769 0.534
H 0.299 0.818 0.353
H 0.818 0.299 0.353
H 0.701 0.182 0.647
H 0.182 0.701 0.647
H 0.481 0.818 0.357
H 0.818 0.481 0.357
H 0.519 0.182 0.643
H 0.182 0.519 0.643
Br 0.044 0.044 0.105
Br 0.956 0.956 0.895
Br 0.080 0.080 0.344
Br 0.920 0.920 0.656
Br 0.626 0.001 0.367
Br 0.001 0.626 0.367
Br 0.374 0.999 0.633
Br 0.999 0.374 0.633
Br 0.119 0.502 0.095
Br 0.502 0.119 0.095
Br 0.881 0.498 0.905
Br 0.498 0.881 0.905
O 0.718 0.718 0.157
O 0.282 0.282 0.843
O 0.363 0.667 0.160
O 0.667 0.363 0.160
O 0.637 0.333 0.840
O 0.333 0.637 0.840
O 0.342 0.342 0.421
O 0.658 0.658 0.579
O 0.410 0.745 0.354
O 0.745 0.410 0.354
O 0.590 0.255 0.646
O 0.255 0.590 0.646

## Properties
**Total DFT energy (no corrections)**: -9.778 eV/atom
**Crystal system**: monoclinic
**N(E_F)**: 0.0 states/eV/cell

CaH2SBr: single point on PBEsol structure, meta-GGA SCAN.

a = 3.985 Å, b = 3.985 Å, c = 5.970 Å
α = 90.00°, β = 90.00°, γ = 90.00°
Site moments in Bohr magnetons follow the coordinates.
Fractional coordinates of all 5 atoms:
H 0.000 0.500 0.000  0.10
H 0.500 0.000 0.000  0.10
Ca 0.000 0.000 0.000  0.02
S 0.500 0.500 0.500  0.08
Br 0.000 0.000 0.500  0.00

## Properties
**Total DFT energy (no corrections)**: -8.973 eV/atom
**Crystal system**: tetragonal
**N(E_F)**: 2.2 states/eV/cell

CaHfWBr2: single point on PBEsol structure, meta-GGA SCAN.

a = 5.022 Å, b = 5.022 Å, c = 6.949 Å
α = 90.00°, β = 90.00°, γ = 90.00°
Site moments in Bohr magnetons follow the coordinates.
Fractional coordinates of all 5 atoms:
Ca 0.000 0.000 0.000  0.04
Hf 0.000 0.000 0.500  0.59
Br 0.000 0.500 0.000  0.03
Br 0.500 0.000 0.000  0.03
W 0.500 0.500 0.500  3.03

## Properties
**ΔE_f (raw)**: 1262 meV/atom
**Crystal system**: tetragonal
**N(E_F)**: 2.0 states/eV/cell

CaHgBr2: single point on PBEsol structure, meta-GGA SCAN.

a = 4.165 Å, b = 5.024 Å, c = 5.024 Å
α = 90.00°, β = 90.00°, γ = 90.00°
Fractional coordinates of all 4 atoms:
Ca 0.500 0.500 0.500
Hg 0.500 0.000 0.000
Br 0.000 0.000 0.500
Br 0.000 0.500 0.000

## Properties
**ΔE_f (raw)**: -1258 meV/atom
**Energy above the lowest structure with this stoichiometry**: 379 meV/atom
**Crystal system**: tetragonal

CaHgBr2: single point on PBEsol structure, meta-GGA SCAN.

a = 4.379 Å, b = 5.111 Å, c = 6.932 Å
α = 111.60°, β = 90.00°, γ = 90.00°
Fractional coordinates of all 4 atoms:
Ca 0.000 0.534 0.070
Hg 0.500 0.346 0.691
Br 0.000 0.950 0.901
Br 0.500 0.670 0.338

## Properties
**ΔE_f (raw)**: -1491 meV/atom
**Energy above the lowest structure with this stoichiometry**: 145 meV/atom
**Crystal system**: monoclinic
**N(E_F)**: 0.0 states/eV/cell

CaHgBr2: single point on PBEsol structure, meta-GGA SCAN.

a = 4.141 Å, b = 4.141 Å, c = 9.546 Å
α = 77.47°, β = 77.47°, γ = 60.00°
Fractional coordinates of all 4 atoms:
Ca 0.500 0.500 0.500
Hg 0.000 0.000 0.000
Br 0.776 0.776 0.671
Br 0.224 0.224 0.329

## Properties
**ΔE_f (raw)**: -1636 meV/atom
**Energy above the lowest structure with this stoichiometry**: 0 meV/atom
**Crystal system**: trigonal
**N(E_F)**: 0.0 states/eV/cell

CaHgIBr2: single point on PBEsol structure, meta-GGA SCAN.

a = 5.400 Å, b = 5.400 Å, c = 6.316 Å
α = 90.00°, β = 90.00°, γ = 90.00°
Fractional coordinates of all 5 atoms:
I 0.000 0.000 0.500
Ca 0.000 0.000 0.000
Hg 0.500 0.500 0.500
Br 0.000 0.500 0.000
Br 0.500 0.000 0.000

## Properties
**ΔE_f (raw)**: -1058 meV/atom
**Crystal system**: tetragonal
**N(E_F)**: 4.2 states/eV/cell

CaHg2PbBr: single point on PBEsol structure, meta-GGA SCAN.

a = 5.649 Å, b = 5.649 Å, c = 5.747 Å
α = 90.00°, β = 90.00°, γ = 90.00°
Fractional coordinates of all 5 atoms:
Pb 0.000 0.000 0.000
Ca 0.500 0.500 0.500
Hg 0.000 0.500 0.000
Hg 0.500 0.000 0.000
Br 0.000 0.000 0.500

## Properties
**ΔE_f (raw)**: -132 meV/atom
**Crystal system**: tetragonal
**N(E_F)**: 2.3 states/eV/cell

Question: Which formula does entry 1 have?
Answer: Ca2TiGeBr

What did the fifth record say?
CaZn2H12Br6O6: single point on PBEsol structure, meta-GGA SCAN.

a = 8.474 Å, b = 8.474 Å, c = 14.296 Å
α = 68.34°, β = 68.34°, γ = 75.21°
Fractional coordinates of all 54 atoms:
Ca 0.524 0.524 0.277
Ca 0.476 0.476 0.723
Zn 0.923 0.923 0.295
Zn 0.077 0.077 0.705
Zn 0.200 0.200 0.149
Zn 0.800 0.800 0.851
H 0.686 0.841 0.126
H 0.841 0.686 0.126
H 0.314 0.159 0.874
H 0.159 0.314 0.874
H 0.273 0.618 0.155
H 0.618 0.273 0.155
H 0.727 0.382 0.845
H 0.382 0.727 0.845
H 0.415 0.736 0.087
H 0.736 0.415 0.087
H 0.585 0.264 0.913
H 0.264 0.585 0.913
H 0.231 0.382 0.466
H 0.382 0.231 0.466
H 0.769 0.618 0.534
H 0.618 0.769 0.534
H 0.299 0.818 0.353
H 0.818 0.299 0.353
H 0.701 0.182 0.647
H 0.182 0.701 0.647
H 0.481 0.818 0.357
H 0.818 0.481 0.357
H 0.519 0.182 0.643
H 0.182 0.519 0.643
Br 0.044 0.044 0.105
Br 0.956 0.956 0.895
Br 0.080 0.080 0.344
Br 0.920 0.920 0.656
Br 0.626 0.001 0.367
Br 0.001 0.626 0.367
Br 0.374 0.999 0.633
Br 0.999 0.374 0.633
Br 0.119 0.502 0.095
Br 0.502 0.119 0.095
Br 0.881 0.498 0.905
Br 0.498 0.881 0.905
O 0.718 0.718 0.157
O 0.282 0.282 0.843
O 0.363 0.667 0.160
O 0.667 0.363 0.160
O 0.637 0.333 0.840
O 0.333 0.637 0.840
O 0.342 0.342 0.421
O 0.658 0.658 0.579
O 0.410 0.745 0.354
O 0.745 0.410 0.354
O 0.590 0.255 0.646
O 0.255 0.590 0.646

## Properties
**Total DFT energy (no corrections)**: -9.778 eV/atom
**Crystal system**: monoclinic
**N(E_F)**: 0.0 states/eV/cell